DFT (PBE with a Hubbard U) results for an optimized crystal structure of NiPd3O.

Values from the calculation:
**Energy relative to the lowest polymorph listed for this composition**: 1.162 eV per atom
**Space-group type**: No. 221
**Total energy**: -3.0197 eV/atom
**N(E_F)**: 3.022 states/eV/atom

```
5
Lattice="-2.3066 3.6778 -1.2993 -3.5908 -2.5917 -0.9613 -1.5233 0.5402 4.2335" Properties=species:S:1:pos:R:3 pbc="T T T"
Ni 0.0000 0.0000 0.0000
Pd -1.1533 1.8389 -0.6496
Pd -0.7616 0.2701 2.1168
Pd -1.7954 -1.2958 -0.4807
O -3.7104 0.8132 0.9864
```